Record 1
NiAuSe2 GGA-PBE relaxed; spin magnetization = 0.00 μB per formula unit; formation energy from raw total energies = -0.167 eV/atom
1.0
3.607 0.000 0.000
-1.803 3.123 0.000
0.000 0.000 14.800
Se Au Ni
4 2 2
Cartesian
0.000 2.082 1.235
1.803 1.041 8.635
1.803 1.041 13.565
0.000 2.082 6.165
0.000 2.082 3.700
1.803 1.041 11.100
0.000 0.000 0.000
0.000 0.000 7.400

=====

Record 2
NiAu2Se GGA-PBE relaxed; spin magnetization = 0.00 μB per formula unit; formation energy from raw total energies = 0.291 eV/atom
1.0
7.407 0.000 0.000
0.000 7.407 0.000
3.704 3.704 2.641
Se Ni Au
2 2 4
Cartesian
0.000 0.000 0.000
7.407 3.704 1.320
3.704 3.704 0.000
3.704 7.407 1.320
1.967 5.556 0.660
5.440 1.852 0.660
9.259 9.144 1.981
5.556 5.671 1.981

=====

Record 3
NiAu2Se GGA-PBE relaxed; spin magnetization = 0.00 μB per formula unit; formation energy from raw total energies = 0.246 eV/atom
1.0
5.576 0.044 0.071
-3.037 4.677 0.071
1.235 2.296 2.808
Au Ni Se
2 1 1
Cartesian
0.000 0.000 0.000
1.269 2.360 0.071
3.406 1.170 1.440
-0.901 3.486 1.440

=====

Calculated values (states/eV/f.u.) of Fermi-level density of states for the records, taken in order: 2.88, 2.01, 3.15.